<P>
This record from Alexandria describes a relaxed LaZrCr2 crystal. The functional is PBE.

Values from the calculation:
spin magnetization = 0.0634 μB/atom
V = 20.5 Å³ per atom

Cell: 5.995 5.995 5.995 Å, 148.43 132.74 57.95°
Fractional coordinates of all 4 atoms:
La 0.000 0.000 0.000
Zr 0.276 0.776 0.500
Cr 0.588 0.588 0.000
Cr 0.734 0.234 0.500

=====

<Q>
This record from Alexandria describes a relaxed LaZrCr2 crystal. The functional is PBE.

Values from the calculation:
spin magnetization = 1.3790 μB/atom
V = 21.4 Å³ per atom

Cell: 5.101 3.156 5.786 Å, 90.00 113.14 90.00°
Fractional coordinates of all 4 atoms:
La 0.000 0.000 0.000
Zr 0.500 0.500 0.500
Cr 0.000 0.000 0.500
Cr 0.500 0.500 0.000

=====

<R>
This record from Alexandria describes a relaxed LaZrCr2 crystal. The functional is PBE.

Values from the calculation:
spin magnetization = 1.3147 μB/atom
V = 21.3 Å³ per atom

Cell: 9.415 9.415 9.415 Å, 19.96 19.96 19.96°
Fractional coordinates of all 4 atoms:
La 0.000 0.000 0.000
Zr 0.500 0.500 0.500
Cr 0.244 0.244 0.244
Cr 0.756 0.756 0.756

=====

<S>
This record from Alexandria describes a relaxed LaZrCr2 crystal. The functional is PBE.

Values from the calculation:
spin magnetization = 0.0008 μB/atom
V = 19.6 Å³ per atom

Cell: 3.228 3.977 6.091 Å, 90.00 90.00 90.00°
Fractional coordinates of all 4 atoms:
La 0.000 0.000 0.000
Zr 0.500 0.500 0.384
Cr 0.000 0.000 0.615
Cr 0.500 0.500 0.747

=====

Result of the stability comparison: <P> is the most stable of them.

=====

<P>
This record from Alexandria describes a relaxed LaZrCr2 crystal. The functional is PBE.

Values from the calculation:
spin magnetization = 0.0080 μB/atom
V = 18.2 Å³ per atom

Cell: 5.295 5.295 5.295 Å, 143.67 122.61 69.84°
Fractional coordinates of all 4 atoms:
La 0.000 0.000 0.000
Zr 0.500 0.500 0.000
Cr 0.247 0.747 0.500
Cr 0.753 0.253 0.500

=====

<Q>
This record from Alexandria describes a relaxed LaZrCr2 crystal. The functional is PBE.

Values from the calculation:
spin magnetization = 1.2622 μB/atom
V = 21.2 Å³ per atom

Cell: 3.432 3.432 7.203 Å, 90.00 90.00 90.00°
Fractional coordinates of all 4 atoms:
La 0.000 0.000 0.000
Zr 0.000 0.000 0.500
Cr 0.500 0.500 0.289
Cr 0.500 0.500 0.711

=====

Result of the stability comparison: <Q> is the most stable of them.

=====

<P>
This record from Alexandria describes a relaxed LiCr5 crystal. The functional is PBE.

Values from the calculation:
spin magnetization = 0.3528 μB/atom
V = 11.9 Å³ per atom

Cell: 6.411 6.411 2.878 Å, 90.00 90.00 142.69°
Fractional coordinates of all 6 atoms:
Li 0.000 0.000 0.000
Cr 0.172 0.828 0.500
Cr 0.335 0.665 0.000
Cr 0.500 0.500 0.500
Cr 0.665 0.335 0.000
Cr 0.828 0.172 0.500

=====

<Q>
This record from Alexandria describes a relaxed LiCr5 crystal. The functional is PBE.

Values from the calculation:
spin magnetization = 0.0000 μB/atom
V = 13.4 Å³ per atom

Cell: 4.865 4.865 3.919 Å, 90.00 90.00 120.00°
Fractional coordinates of all 6 atoms:
Li 0.000 0.000 0.000
Cr 0.000 0.500 0.500
Cr 0.333 0.667 0.000
Cr 0.500 0.000 0.500
Cr 0.500 0.500 0.500
Cr 0.667 0.333 0.000

=====

<R>
This record from Alexandria describes a relaxed LiCr5 crystal. The functional is PBE.

Values from the calculation:
spin magnetization = 0.0746 μB/atom
V = 12.3 Å³ per atom

Cell: 4.708 4.708 4.708 Å, 60.00 60.00 60.00°
Fractional coordinates of all 6 atoms:
Li 0.000 0.000 0.000
Cr 0.374 0.374 0.374
Cr 0.374 0.374 0.879
Cr 0.374 0.879 0.374
Cr 0.750 0.750 0.750
Cr 0.879 0.374 0.374

=====

Result of the stability comparison: <P> is the most stable of them.

=====

<P>
This record from Alexandria describes a relaxed Li4Cr crystal. The functional is PBE.

Values from the calculation:
spin magnetization = 0.9783 μB/atom
V = 26.3 Å³ per atom

Cell: 5.083 5.083 5.083 Å, 90.00 90.00 90.00°
Fractional coordinates of all 5 atoms:
Li 0.000 0.000 0.000
Li 0.000 0.500 0.500
Li 0.500 0.000 0.500
Li 0.500 0.500 0.000
Cr 0.500 0.500 0.500

=====

<Q>
This record from Alexandria describes a relaxed Li4Cr crystal. The functional is PBE.

Values from the calculation:
spin magnetization = 0.9823 μB/atom
V = 25.1 Å³ per atom

Cell: 5.465 5.465 5.465 Å, 109.47 109.47 109.47°
Fractional coordinates of all 5 atoms:
Li 0.000 0.000 0.500
Li 0.000 0.500 0.000
Li 0.500 0.000 0.000
Li 0.500 0.500 0.500
Cr 0.000 0.000 0.000

=====

Result of the stability comparison: <Q> is the most stable of them.

=====

<P>
This record from Alexandria describes a relaxed LiLu2Cr crystal. The functional is PBE.

Values from the calculation:
spin magnetization = 0.8369 μB/atom
V = 21.7 Å³ per atom

Cell: 4.970 4.970 4.970 Å, 60.00 60.00 60.00°
Fractional coordinates of all 4 atoms:
Li 0.000 0.000 0.000
Lu 0.250 0.250 0.250
Lu 0.750 0.750 0.750
Cr 0.500 0.500 0.500

=====

<Q>
This record from Alexandria describes a relaxed LiLu2Cr crystal. The functional is PBE.

Values from the calculation:
spin magnetization = 0.5830 μB/atom
V = 22.6 Å³ per atom

Cell: 3.391 3.391 7.875 Å, 90.00 90.00 90.00°
Fractional coordinates of all 4 atoms:
Li 0.000 0.000 0.000
Lu 0.500 0.500 0.287
Lu 0.500 0.500 0.713
Cr 0.000 0.000 0.500

=====

Result of the stability comparison: <P> is the most stable of them.

=====

<P>
This record from Alexandria describes a relaxed LiMgCr crystal. The functional is PBE.

Values from the calculation:
spin magnetization = 1.3860 μB/atom
V = 18.6 Å³ per atom

Cell: 5.189 5.189 5.189 Å, 145.87 134.00 58.51°
Fractional coordinates of all 3 atoms:
Li 0.000 0.000 0.000
Mg 0.672 0.672 0.000
Cr 0.339 0.339 0.000

=====

<Q>
This record from Alexandria describes a relaxed LiMgCr crystal. The functional is PBE.

Values from the calculation:
spin magnetization = 0.2545 μB/atom
V = 15.6 Å³ per atom

Cell: 7.439 7.295 2.623 Å, 82.86 76.66 20.48°
Fractional coordinates of all 3 atoms:
Li 0.000 0.000 0.000
Mg 0.682 0.682 0.318
Cr 0.342 0.342 0.658

=====

Result of the stability comparison: <P> is the most stable of them.